First-principles (PBE with a Hubbard U) data for a relaxed CrCuTeF2 crystal, as listed in Alexandria.

POSCAR file:
```
CrCuTeF2
1.0
-2.422 2.838 -1.088
-3.034 -2.177 1.074
0.275 2.386 5.612
Cu Cr Te F
1 1 1 2
direct
0.500 0.500 0.500
0.000 0.000 0.000
0.000 0.000 0.500
0.500 0.000 0.000
0.000 0.500 0.000
```

Properties
* energy: -25.5 eV/cell
* D(E_F): 1.733 states/eV/cell
* size of the total moment: 3.52 μB/cell